Entry 1:
ZrUC2, relaxed, DFT GGA-PBEsol; total moment = 0.00 μB per formula unit; ΔE_f = -2.2 eV/f.u.
1.0
1.6778 0.9687 5.6254
-1.6778 0.9687 5.6254
0.0000 -1.9373 5.6254
Zr U C
1 1 2
Direct
0.0000 0.0000 0.0000
0.5000 0.5000 0.5000
0.2510 0.2510 0.2510
0.7490 0.7490 0.7490

***

Entry 2:
SrNiIr2, relaxed, DFT GGA-PBEsol; total moment = 0.00 μB per formula unit; ΔE_f = 2.3 eV/f.u.; energy above the lowest structure with this stoichiometry = 335 meV per atom
1.0
2.7640 -4.2239 0.0000
2.7640 4.2239 0.0000
0.0000 0.0000 2.7646
Sr Ni Ir
1 1 2
Direct
0.0000 0.0000 0.0000
0.5000 0.5000 0.0000
0.0000 0.5000 0.5000
0.5000 0.0000 0.5000

***

Entry 3:
SrIrF2, relaxed, DFT GGA-PBEsol; total moment = 1.77 μB per formula unit; formation energy without anion corrections = -92 kJ per mole of atoms
1.0
0.0000 3.1335 3.1335
3.1335 0.0000 3.1335
3.1335 3.1335 0.0000
Sr Ir F
1 1 2
Direct
0.0000 0.0000 0.0000
0.5000 0.5000 0.5000
0.2500 0.2500 0.2500
0.7500 0.7500 0.7500

***

Entry 4:
BeCr2ReAu, relaxed, DFT GGA-PBEsol; total moment = 4.72 μB per formula unit; ΔE_f = 9.2 eV/f.u.
1.0
4.7739 0.0000 0.0000
0.0000 4.7739 0.0000
0.0000 0.0000 3.9979
Be Cr Re Au
1 2 1 1
Direct
0.0000 0.0000 0.0000
0.0000 0.5000 0.5000
0.5000 0.0000 0.5000
0.5000 0.5000 0.0000
0.0000 0.0000 0.5000

***

Entry 5:
SnMo2N, relaxed, DFT GGA-PBEsol; total moment = 0.76 μB per formula unit; formation energy without anion corrections = 110 kJ per mole of atoms
1.0
0.0000 3.0708 3.0708
3.0708 0.0000 3.0708
3.0708 3.0708 0.0000
Sn Mo N
1 2 1
Direct
0.0000 0.0000 0.0000
0.2500 0.2500 0.2500
0.7500 0.7500 0.7500
0.5000 0.5000 0.5000

***

Entry 6:
BSbO3, relaxed, DFT GGA-PBEsol; total moment = 0.00 μB per formula unit; formation energy without anion corrections = -177 kJ per mole of atoms
1.0
4.5500 0.0000 0.0000
0.3765 4.7416 0.0000
1.4453 1.0841 5.9270
B Sb O
2 2 6
Direct
0.0049 0.2581 0.2094
0.9951 0.7419 0.7906
0.4189 0.2399 0.7514
0.5811 0.7601 0.2486
0.0012 0.5426 0.2197
0.2420 0.9044 0.6795
0.2692 0.1300 0.0949
0.7308 0.8700 0.9051
0.7580 0.0956 0.3205
0.9988 0.4574 0.7803

***

Entry 7:
AlTcTe2, relaxed, DFT GGA-PBEsol; total moment = 0.00 μB per formula unit; formation energy without anion corrections = -3 kJ per mole of atoms
1.0
1.6157 0.9328 9.6555
-1.6157 0.9328 9.6555
0.0000 -1.8657 9.6555
Al Tc Te
1 1 2
Direct
0.0000 0.0000 0.0000
0.7311 0.7311 0.7311
0.2537 0.2537 0.2537
0.4612 0.4612 0.4612

***

Entry 8:
Cr2SiRu, relaxed, DFT GGA-PBEsol; total moment = 0.00 μB per formula unit; formation energy without anion corrections = -32 kJ per mole of atoms
1.0
-1.4448 1.9544 4.1456
1.4448 -1.9544 4.1456
1.4448 1.9544 -4.1456
Cr Si Ru
2 1 1
Direct
0.2451 0.2451 0.0000
0.7549 0.7549 0.0000
0.0000 0.5000 0.5000
0.5000 0.0000 0.5000

***

Question: Look up the total moment of the third one.
Answer: 1.77 μB per formula unit

***

Question: Which formula does entry 4 have?
Answer: BeCr2ReAu

***

Question: Which of these has the highest total moment?
Answer: BeCr2ReAu